## LiAs8 (PBE)

Data for a relaxed structure of LiAs8.

Computed properties:
- ΔH_f (0 K): 0.235 eV/atom
- Total magnetization: 0.000 μB per atom
- Crystal system: tetragonal
- Total DFT energy (no corrections): -4.111 eV per atom
- DOS at the Fermi energy: 0.23 states/eV per atom

The structure in CIF format:
```
data_LiAs8
_chemical_formula_sum 'Li2 As16'
_cell_length_a 9.847
_cell_length_b 9.847
_cell_length_c 3.971
_cell_angle_alpha 90.00
_cell_angle_beta 90.00
_cell_angle_gamma 90.00
_symmetry_space_group_name_H-M 'I 4/m m m'
_symmetry_Int_Tables_number 139
_symmetry_space_group_name_Hall '-I 4 2'
loop_
_atom_site_label
_atom_site_fract_x
_atom_site_fract_y
_atom_site_fract_z
Li1 0.000 0.000 0.000
As1 0.000 0.359 0.000
As2 0.128 0.128 0.500
```